Computed, not measured: MgSbTe2 after structural relaxation at the PBE level of DFT.

Computed properties:
* D(E_F): 0.728 states/eV per atom
* E_tot: -11.8 eV/cell
* formation energy from raw total energies: 0.0421 eV/atom
* offset from the most stable computed form: 0.402 eV/atom

Lattice parameters (Å, degrees): 3.660 5.368 5.482 90.00 90.00 90.00
Atoms (fractional coordinates):
Mg 0.000 0.000 0.000
Sb 0.500 0.000 0.500
Te 0.000 0.500 0.500
Te 0.500 0.500 0.000

Computed, not measured: Ba2MgGe4Au3 after structural relaxation at the PBE level of DFT.

Computed properties:
* D(E_F): 0.513 states/eV per atom
* E_tot: -38.9 eV/cell
* ΔE_f: -0.5130 eV per atom

Lattice parameters (Å, degrees): 4.618 4.618 11.134 90.00 90.00 90.00
Atoms (fractional coordinates):
Ba 0.000 0.500 0.246
Ba 0.500 0.000 0.754
Mg 0.000 0.000 0.500
Ge 0.000 0.000 0.000
Ge 0.000 0.500 0.637
Ge 0.500 0.000 0.363
Ge 0.500 0.500 0.000
Au 0.000 0.500 0.876
Au 0.500 0.000 0.124
Au 0.500 0.500 0.500

Computed, not measured: YSc2Rh after structural relaxation at the PBE level of DFT.

Computed properties:
* D(E_F): 0.625 states/eV per atom
* E_tot: -83.8 eV/cell
* ΔE_f: -0.3657 eV per atom
* offset from the most stable computed form: 0.158 eV/atom

Lattice parameters (Å, degrees): 4.415 4.415 17.461 90.00 90.00 120.00
Atoms (fractional coordinates):
Y 0.000 0.000 0.000
Y 0.333 0.667 0.667
Y 0.667 0.333 0.333
Sc 0.000 0.000 0.213
Sc 0.000 0.000 0.448
Sc 0.333 0.667 0.115
Sc 0.333 0.667 0.880
Sc 0.667 0.333 0.546
Sc 0.667 0.333 0.781
Rh 0.000 0.000 0.825
Rh 0.333 0.667 0.491
Rh 0.667 0.333 0.158

Computed, not measured: Ac6HoSn3 after structural relaxation at the PBE level of DFT.

Computed properties:
* D(E_F): 1.271 states/eV per atom
* E_tot: -88.6 eV/cell
* ΔE_f: -0.3056 eV per atom

Lattice parameters (Å, degrees): 10.326 10.326 7.796 90.00 90.00 103.63
Atoms (fractional coordinates):
Ac 0.043 0.957 0.500
Ac 0.061 0.470 0.010
Ac 0.263 0.737 0.364
Ac 0.278 0.348 0.339
Ac 0.348 0.278 0.839
Ac 0.470 0.061 0.510
Ac 0.530 0.939 0.010
Ac 0.652 0.722 0.339
Ac 0.722 0.652 0.839
Ac 0.737 0.263 0.864
Ac 0.939 0.530 0.510
Ac 0.957 0.043 0.000
Ho 0.186 0.814 0.877
Ho 0.814 0.186 0.377
Sn 0.044 0.266 0.659
Sn 0.266 0.044 0.159
Sn 0.399 0.601 0.031
Sn 0.601 0.399 0.531
Sn 0.734 0.956 0.659
Sn 0.956 0.734 0.159

What is the D(E_F) in the first record? 0.728 states/eV per atom

Among the records above, which one has the highest E_tot? MgSbTe2

What is the E_tot in the second record? -38.9 eV/cell